Entry 1:
Tb4PrEr3: optimized geometry, GGA-PBE.

It has space group C2/m (No. 12), with a = 26.009 Å, b = 5.666 Å, c = 3.562 Å, α = 90.00°, β = 90.05° and γ = 90.00°. Symmetry generates all atoms from Tb at (0.106, 0.000, 0.000), Tb at (0.225, 0.000, 0.999), Pr at (0.000, 0.000, 0.500), Er at (0.000, 0.500, 0.000) and Er at (0.155, 0.500, 0.499).

As for the total energy: -4.396 eV/atom. The crystal system is monoclinic. As for the energy above the most stable polymorph in this dataset: 0.2154 eV per atom.

***

Entry 2:
Tb5PrEr12: optimized geometry, GGA-PBE.

It has space group C2/m (No. 12), with a = 11.151 Å, b = 17.204 Å, c = 5.907 Å, α = 90.00°, β = 90.03° and γ = 90.00°. Symmetry generates all atoms from Tb at (0.000, 0.000, 0.000), Tb at (0.000, 0.169, 0.500), Tb at (0.000, 0.332, 0.000), Pr at (0.000, 0.500, 0.500), Er at (0.171, 0.000, 0.455), Er at (0.175, 0.167, 0.052), Er at (0.176, 0.500, 0.045) and Er at (0.178, 0.333, 0.448).

As for the total energy: -4.477 eV/atom. The crystal system is monoclinic.

***

Entry 3:
Tb3Pr3Er8: optimized geometry, GGA-PBE.

It has space group Immm (No. 71), with a = 5.642 Å, b = 10.767 Å, c = 15.071 Å, α = 90.00°, β = 90.00° and γ = 90.00°. Symmetry generates all atoms from Tb at (0.000, 0.000, 0.000), Tb at (0.000, 0.297, 0.000), Pr at (0.000, 0.000, 0.500), Pr at (0.000, 0.500, 0.185), Er at (0.000, 0.161, 0.220) and Er at (0.000, 0.342, 0.398).

As for the total energy: -4.516 eV/atom. The crystal system is orthorhombic.

***

Ordered energy of formation from the pure elements results: 0.228 0.116 0.107; unit eV/atom.